DFT (PBE-GGA) results for a relaxed Pr5P4Se crystal.

The structure in CIF format:
```
data_Pr5P4Se
_cell_length_a 4.211
_cell_length_b 5.962
_cell_length_c 21.150
_cell_angle_alpha 90.00
_cell_angle_beta 90.00
_cell_angle_gamma 90.00
_space_group_name_H-M_alt 'I m m m'
_space_group_IT_number 71
_space_group_name_Hall '-I 2 2'
loop_
_atom_site_label
_atom_site_fract_x
_atom_site_fract_y
_atom_site_fract_z
Pr1 0.000 0.000 0.000
Pr2 0.000 0.000 0.200
Pr3 0.000 0.000 0.393
P1 0.000 0.500 0.201
P2 0.000 0.500 0.401
Se1 0.000 0.500 0.000
```

DFT (PBE-GGA) results for a relaxed Pr2PSe crystal.

Calculated values
Energy above the lowest structure with this stoichiometry in eV per atom: 0.070

The structure in CIF format:
```
data_Pr2PSe
_cell_length_a 4.1476
_cell_length_b 4.1476
_cell_length_c 21.9617
_cell_angle_alpha 90.00
_cell_angle_beta 90.00
_cell_angle_gamma 120.00
_space_group_name_H-M_alt 'R 3 m'
_space_group_IT_number 160
_space_group_name_Hall 'R 3 -2"'
loop_
_atom_site_label
_atom_site_fract_x
_atom_site_fract_y
_atom_site_fract_z
Pr1 0.0000 0.0000 0.0000
Pr2 0.0000 0.0000 0.1835
P1 0.0000 0.0000 0.5928
Se1 0.0000 0.0000 0.4240
```

DFT (PBE-GGA) results for a relaxed Pr7P4Se4 crystal.

The structure in CIF format:
```
data_Pr7P4Se4
_cell_length_a 14.795
_cell_length_b 14.795
_cell_length_c 7.540
_cell_angle_alpha 90.00
_cell_angle_beta 90.00
_cell_angle_gamma 90.00
_space_group_name_H-M_alt 'I 4/m m m'
_space_group_IT_number 139
_space_group_name_Hall '-I 4 2'
loop_
_atom_site_label
_atom_site_fract_x
_atom_site_fract_y
_atom_site_fract_z
Pr1 0.000 0.000 0.245
Pr2 0.000 0.277 0.000
Pr3 0.000 0.361 0.500
Pr4 0.208 0.208 0.500
P1 0.147 0.353 0.250
Se1 0.000 0.166 0.500
Se2 0.122 0.122 0.000
```

DFT (PBE-GGA) results for a relaxed Pr6P4Se crystal.

The structure in CIF format:
```
data_Pr6P4Se
_cell_length_a 4.174
_cell_length_b 13.858
_cell_length_c 21.113
_cell_angle_alpha 90.00
_cell_angle_beta 90.00
_cell_angle_gamma 90.00
_space_group_name_H-M_alt 'C m c m'
_space_group_IT_number 63
_space_group_name_Hall '-C 2c 2'
loop_
_atom_site_label
_atom_site_fract_x
_atom_site_fract_y
_atom_site_fract_z
Pr1 0.000 0.000 0.000
Pr2 0.000 0.177 0.250
Pr3 0.000 0.276 0.580
Pr4 0.000 0.458 0.161
P1 0.000 0.091 0.128
P2 0.000 0.363 0.043
Se1 0.000 0.162 0.750
```

DFT (PBE-GGA) results for a relaxed Pr2PSe crystal.

Calculated values
Energy above the lowest structure with this stoichiometry in eV per atom: 0.163

The structure in CIF format:
```
data_Pr2PSe
_cell_length_a 4.184
_cell_length_b 7.265
_cell_length_c 7.325
_cell_angle_alpha 90.00
_cell_angle_beta 90.00
_cell_angle_gamma 90.00
_space_group_name_H-M_alt 'P m m n'
_space_group_IT_number 59
loop_
_space_group_symop_operation_xyz
'x,y,z'
'-x,-y,-z'
'-x+1/2,-y+1/2,z'
'x+1/2,y+1/2,-z'
'x+1/2,-y,-z'
'-x+1/2,y,z'
'-x,y+1/2,-z'
'x,-y+1/2,z'
loop_
_atom_site_label
_atom_site_fract_x
_atom_site_fract_y
_atom_site_fract_z
Pr1 0.250 0.003 0.234
P1 0.250 0.750 0.916
Se1 0.250 0.250 0.580
```

DFT (PBE-GGA) results for a relaxed Pr4P2Se crystal.

The structure in CIF format:
```
data_Pr4P2Se
_cell_length_a 4.1544
_cell_length_b 4.1544
_cell_length_c 41.1416
_cell_angle_alpha 90.00
_cell_angle_beta 90.00
_cell_angle_gamma 120.00
_space_group_name_H-M_alt 'R -3 m'
_space_group_IT_number 166
_space_group_name_Hall '-R 3 2"'
loop_
_atom_site_label
_atom_site_fract_x
_atom_site_fract_y
_atom_site_fract_z
Pr1 0.0000 0.0000 0.1261
Pr2 0.0000 0.0000 0.2869
P1 0.0000 0.0000 0.4198
Se1 0.0000 0.0000 0.0000
```

DFT (PBE-GGA) results for a relaxed Pr2PSe crystal.

Calculated values
Energy above the lowest structure with this stoichiometry in eV per atom: 0.000

The structure in CIF format:
```
data_Pr2PSe
_cell_length_a 4.2089
_cell_length_b 4.2089
_cell_length_c 21.0870
_cell_angle_alpha 90.00
_cell_angle_beta 90.00
_cell_angle_gamma 120.00
_space_group_name_H-M_alt 'R -3 m'
_space_group_IT_number 166
_space_group_name_Hall '-R 3 2"'
loop_
_atom_site_label
_atom_site_fract_x
_atom_site_fract_y
_atom_site_fract_z
Pr1 0.0000 0.0000 0.2436
P1 0.0000 0.0000 0.5000
Se1 0.0000 0.0000 0.0000
```

DFT (PBE-GGA) results for a relaxed Pr6PSe5 crystal.

The structure in CIF format:
```
data_Pr6PSe5
_cell_length_a 7.368
_cell_length_b 12.779
_cell_length_c 7.394
_cell_angle_alpha 90.00
_cell_angle_beta 109.32
_cell_angle_gamma 90.00
_space_group_name_H-M_alt 'C 1 2/m 1'
_space_group_IT_number 12
loop_
_space_group_symop_operation_xyz
'x,y,z'
'-x,-y,-z'
'-x,y,-z'
'x,-y,z'
'x+1/2,y+1/2,z'
'-x+1/2,-y+1/2,-z'
'-x+1/2,y+1/2,-z'
'x+1/2,-y+1/2,z'
loop_
_atom_site_label
_atom_site_fract_x
_atom_site_fract_y
_atom_site_fract_z
Pr1 0.238 0.000 0.262
Pr2 0.238 0.158 0.738
P1 0.000 0.000 0.500
Se1 0.000 0.170 0.000
Se2 0.000 0.333 0.500
Se3 0.000 0.500 0.000
```

DFT (PBE-GGA) results for a relaxed Pr3P2Se crystal.

Calculated values
Energy above the lowest structure with this stoichiometry in eV per atom: 0.000

The structure in CIF format:
```
data_Pr3P2Se
_cell_length_a 4.215
_cell_length_b 5.984
_cell_length_c 12.698
_cell_angle_alpha 90.00
_cell_angle_beta 90.00
_cell_angle_gamma 90.00
_space_group_name_H-M_alt 'I m m m'
_space_group_IT_number 71
_space_group_name_Hall '-I 2 2'
loop_
_atom_site_label
_atom_site_fract_x
_atom_site_fract_y
_atom_site_fract_z
Pr1 0.000 0.000 0.000
Pr2 0.000 0.000 0.324
P1 0.000 0.500 0.335
Se1 0.000 0.500 0.000
```

DFT (PBE-GGA) results for a relaxed Pr3P5Se12 crystal.

The structure in CIF format:
```
data_Pr3P5Se12
_cell_length_a 16.137
_cell_length_b 16.137
_cell_length_c 16.137
_cell_angle_alpha 90.00
_cell_angle_beta 90.00
_cell_angle_gamma 90.00
_space_group_name_H-M_alt 'I a -3 d'
_space_group_IT_number 230
_space_group_name_Hall '-I 4bd 2c 3'
loop_
_atom_site_label
_atom_site_fract_x
_atom_site_fract_y
_atom_site_fract_z
Pr1 0.000 0.250 0.125
P1 0.000 0.000 0.000
P2 0.000 0.250 0.375
Se1 0.027 0.056 0.648
```

DFT (PBE-GGA) results for a relaxed Pr4P3Se crystal.

The structure in CIF format:
```
data_Pr4P3Se
_cell_length_a 8.456
_cell_length_b 11.926
_cell_length_c 4.215
_cell_angle_alpha 90.00
_cell_angle_beta 90.00
_cell_angle_gamma 90.00
_space_group_name_H-M_alt 'C m m m'
_space_group_IT_number 65
_space_group_name_Hall '-C 2 2'
loop_
_atom_site_label
_atom_site_fract_x
_atom_site_fract_y
_atom_site_fract_z
Pr1 0.000 0.246 0.000
Pr2 0.240 0.000 0.500
P1 0.000 0.000 0.000
P2 0.250 0.250 0.500
Se1 0.000 0.500 0.000
```

DFT (PBE-GGA) results for a relaxed Pr4PSe3 crystal.

The structure in CIF format:
```
data_Pr4PSe3
_cell_length_a 8.571
_cell_length_b 12.038
_cell_length_c 4.226
_cell_angle_alpha 90.00
_cell_angle_beta 90.00
_cell_angle_gamma 90.00
_space_group_name_H-M_alt 'C m m m'
_space_group_IT_number 65
_space_group_name_Hall '-C 2 2'
loop_
_atom_site_label
_atom_site_fract_x
_atom_site_fract_y
_atom_site_fract_z
Pr1 0.000 0.240 0.000
Pr2 0.233 0.000 0.500
P1 0.000 0.000 0.000
Se1 0.000 0.500 0.000
Se2 0.250 0.250 0.500
```

no.,ΔE_f (raw) (eV per atom),VASP energy (eV/cell)
1,-1.63,-130.722
2,-1.70,-75.737
3,-1.52,-367.290
4,-1.44,-278.684
5,-1.60,-49.744
6,-1.40,-129.737
7,-1.77,-76.576
8,-1.84,-147.085
9,-1.70,-77.654
10,-0.56,-754.578
11,-1.66,-104.289
12,-1.82,-99.112